(1)
{
  "formula": "Lu4Hf2P3N3",
  "functional": "PBE",
  "state": "optimized geometry",
  "cell": [[-2.1584, 5.6551, -0.5422], [-2.8746, 1.6715, -5.0869], [-8.8355, -5.9957, 6.6478]],
  "species": ["Hf", "Hf", "Hf", "Hf", "Lu", "Lu", "Lu", "Lu", "Lu", "Lu", "Lu", "Lu", "N", "N", "N", "N", "N", "N", "P", "P", "P", "P", "P", "P"],
  "frac_coords": [[0.5349, 0.3667, 0.1030], [0.6333, 0.4651, 0.3970], [0.3667, 0.5349, 0.6030], [0.4651, 0.6334, 0.8970], [0.8714, 0.7022, 0.1070], [0.2015, 0.0374, 0.1070], [0.9626, 0.7985, 0.3930], [0.2978, 0.1286, 0.3930], [0.7022, 0.8714, 0.6070], [0.0374, 0.2015, 0.6070], [0.7985, 0.9626, 0.8930], [0.1286, 0.2978, 0.8930], [0.5000, 0.0000, 0.0000], [0.8120, 0.3438, 0.0000], [0.1880, 0.6562, 0.0000], [0.3438, 0.8120, 0.5000], [0.0000, 0.5000, 0.5000], [0.6562, 0.1880, 0.5000], [0.5834, 0.7364, 0.2490], [0.9039, 0.0961, 0.2500], [0.2636, 0.4166, 0.2510], [0.7364, 0.5834, 0.7490], [0.0961, 0.9039, 0.7500], [0.4166, 0.2636, 0.7510]]
}

=====

(2)
{
  "formula": "NbPAuO",
  "functional": "PBE",
  "state": "optimized geometry",
  "cell": [[-2.1908, -1.3906, -2.9241], [-3.0723, -3.9052, 4.1589], [-3.5037, 3.6855, 0.8724]],
  "species": ["Au", "Au", "Nb", "Nb", "O", "O", "P", "P"],
  "frac_coords": [[0.5000, 0.0712, 0.4882], [0.5000, 0.9288, 0.9882], [0.0000, 0.6682, 0.4179], [0.0000, 0.3318, 0.9179], [0.5000, 0.6321, 0.4352], [0.5000, 0.3679, 0.9352], [0.0000, 0.2747, 0.4127], [0.0000, 0.7253, 0.9127]],
  "e_above_lowest_polymorph_mev_per_atom": 0
}

=====

(3)
{
  "formula": "Sm2Dy2CI3Cl2",
  "functional": "PBE",
  "state": "optimized geometry",
  "cell": [[-3.8256, 4.2357, 7.4909], [-3.9190, 0.4678, 8.5506], [8.1832, 0.3814, 2.0771]],
  "species": ["C", "Cl", "Cl", "Dy", "Dy", "I", "I", "I", "Sm", "Sm"],
  "frac_coords": [[0.5000, 0.5000, 0.0000], [0.1470, 0.1470, 0.3068], [0.8530, 0.8530, 0.6932], [0.9982, 0.9982, 0.1912], [0.0018, 0.0018, 0.8088], [0.8270, 0.8270, 0.1988], [0.5000, 0.5000, 0.5000], [0.1730, 0.1730, 0.8012], [0.6365, 0.6365, 0.0670], [0.3635, 0.3635, 0.9330]],
  "e_above_lowest_polymorph_mev_per_atom": 0
}

=====

(4)
{
  "formula": "PaBO2",
  "functional": "PBE",
  "state": "optimized geometry",
  "cell": [[3.5599, -4.4628, 0.0000], [3.5599, 4.4628, 0.0000], [0.0000, 0.0000, 3.3934]],
  "species": ["B", "B", "O", "O", "O", "O", "Pa", "Pa"],
  "frac_coords": [[0.0000, 0.0000, 0.0000], [0.0000, 0.0000, 0.5000], [0.4748, 0.1690, 0.2500], [0.8310, 0.5252, 0.2500], [0.1690, 0.4748, 0.7500], [0.5252, 0.8310, 0.7500], [0.2800, 0.7200, 0.2500], [0.7200, 0.2800, 0.7500]]
}

=====

(5)
{
  "formula": "Lu4Ni2CN",
  "functional": "PBE",
  "state": "optimized geometry",
  "cell": [[3.4636, 0.0000, 0.0000], [-1.7318, 2.9996, 0.0000], [0.0000, 0.0000, 12.8945]],
  "species": ["C", "Lu", "Lu", "Lu", "Lu", "N", "Ni", "Ni"],
  "frac_coords": [[0.0000, 0.0000, 0.0000], [0.3333, 0.6667, 0.1026], [0.3333, 0.6667, 0.3971], [0.6667, 0.3333, 0.6029], [0.6667, 0.3333, 0.8974], [0.0000, 0.0000, 0.5000], [0.6667, 0.3333, 0.2530], [0.3333, 0.6667, 0.7470]]
}

=====

(6)
{
  "formula": "ReNiPd",
  "functional": "PBE",
  "state": "optimized geometry",
  "cell": [[3.4218, 0.2610, 2.0617], [0.4663, 2.8724, 2.7493], [0.0704, -0.9446, 3.8897]],
  "species": ["Ni", "Pd", "Re"],
  "frac_coords": [[0.0000, 0.0000, 0.0000], [0.2500, 0.2500, 0.2500], [0.7500, 0.7500, 0.7500]],
  "e_above_lowest_polymorph_mev_per_atom": 0,
  "formation_energy_mev_per_atom": 624
}

=====

(7)
{
  "formula": "UAlCo",
  "functional": "PBE",
  "state": "optimized geometry",
  "cell": [[-1.2976, 2.2347, -3.5746], [-2.5108, -3.2557, 1.5974], [-2.8166, 3.8568, 3.4336]],
  "species": ["Al", "Al", "Co", "Co", "U", "U"],
  "frac_coords": [[0.3333, 0.6667, 0.2500], [0.6667, 0.3333, 0.7500], [0.6667, 0.3333, 0.2500], [0.3333, 0.6667, 0.7500], [0.0000, 0.0000, 0.0000], [0.0000, 0.0000, 0.5000]]
}

=====

(8)
{
  "formula": "KTl2CoBr6",
  "functional": "PBE",
  "state": "optimized geometry",
  "cell": [[0.0000, 5.4720, 5.4720], [5.4720, 0.0000, 5.4720], [5.4720, 5.4720, 0.0000]],
  "species": ["Br", "Br", "Br", "Br", "Br", "Br", "Co", "K", "Tl", "Tl"],
  "frac_coords": [[0.7801, 0.2199, 0.2199], [0.2199, 0.7801, 0.2199], [0.7801, 0.7801, 0.2199], [0.2199, 0.2199, 0.7801], [0.7801, 0.2199, 0.7801], [0.2199, 0.7801, 0.7801], [0.0000, 0.0000, 0.0000], [0.5000, 0.5000, 0.5000], [0.2500, 0.2500, 0.2500], [0.7500, 0.7500, 0.7500]]
}

=====

(9)
{
  "formula": "B4Os",
  "functional": "PBE",
  "state": "optimized geometry",
  "cell": [[1.4586, -3.5503, 0.0000], [1.4586, 3.5503, 0.0000], [0.0000, 0.0000, 8.0643]],
  "species": ["B", "B", "B", "B", "B", "B", "B", "B", "Os", "Os"],
  "frac_coords": [[0.8489, 0.1511, 0.0077], [0.3097, 0.6903, 0.1434], [0.3097, 0.6903, 0.3566], [0.8489, 0.1511, 0.4923], [0.1511, 0.8489, 0.5077], [0.6903, 0.3097, 0.6434], [0.6903, 0.3097, 0.8566], [0.1511, 0.8489, 0.9923], [0.0080, 0.9920, 0.2500], [0.9920, 0.0080, 0.7500]],
  "e_above_lowest_polymorph_mev_per_atom": 1
}

=====

(10)
{
  "formula": "KMo3S5",
  "functional": "PBE",
  "state": "optimized geometry",
  "cell": [[5.6640, 0.0000, 0.0000], [-2.8320, 4.9052, 0.0000], [0.0000, 0.0000, 7.1732]],
  "species": ["K", "Mo", "Mo", "Mo", "S", "S", "S", "S", "S"],
  "frac_coords": [[0.0000, 0.0000, 0.0000], [0.5000, 0.0000, 0.5000], [0.0000, 0.5000, 0.5000], [0.5000, 0.5000, 0.5000], [0.6667, 0.3333, 0.2478], [0.3333, 0.6667, 0.2478], [0.0000, 0.0000, 0.5000], [0.6667, 0.3333, 0.7522], [0.3333, 0.6667, 0.7522]]
}

=====

(11)
{
  "formula": "NbCoHgAs",
  "functional": "PBE",
  "state": "optimized geometry",
  "cell": [[0.0000, 3.2083, 3.2083], [3.2083, 0.0000, 3.2083], [3.2083, 3.2083, 0.0000]],
  "species": ["As", "Co", "Hg", "Nb"],
  "frac_coords": [[0.0000, 0.0000, 0.0000], [0.7500, 0.7500, 0.7500], [0.5000, 0.5000, 0.5000], [0.2500, 0.2500, 0.2500]],
  "e_above_lowest_polymorph_mev_per_atom": 0
}

=====

(12)
{
  "formula": "Lu4Nb2C3S3",
  "functional": "PBE",
  "state": "optimized geometry",
  "cell": [[-0.7342, 5.2115, -2.8828], [-5.4485, 2.4955, -0.3106], [4.2544, 3.5029, 11.4961]],
  "species": ["C", "C", "C", "C", "C", "C", "Lu", "Lu", "Lu", "Lu", "Lu", "Lu", "Lu", "Lu", "Nb", "Nb", "Nb", "Nb", "S", "S", "S", "S", "S", "S"],
  "frac_coords": [[0.0000, 0.5000, 0.0000], [0.6560, 0.1876, 0.0001], [0.8124, 0.3440, 0.4999], [0.5000, 0.0000, 0.5000], [0.1876, 0.6560, 0.5001], [0.3440, 0.8124, 0.9999], [0.0432, 0.1954, 0.1069], [0.7021, 0.8770, 0.1070], [0.1230, 0.2979, 0.3930], [0.8046, 0.9568, 0.3931], [0.1954, 0.0432, 0.6069], [0.8770, 0.7021, 0.6070], [0.2979, 0.1230, 0.8930], [0.9568, 0.8046, 0.8931], [0.3567, 0.5295, 0.0889], [0.4705, 0.6433, 0.4111], [0.5295, 0.3567, 0.5889], [0.6433, 0.4705, 0.9111], [0.7302, 0.5830, 0.2488], [0.1058, 0.8942, 0.2500], [0.4170, 0.2698, 0.2512], [0.5830, 0.7302, 0.7488], [0.8942, 0.1058, 0.7500], [0.2698, 0.4170, 0.7512]]
}

=====

We obtain DFT total energy values of -193.716, -53.939, -49.650, -64.076, -51.460, -21.294, -45.266, -30.209, -76.474, -58.485, -20.834, -184.606 eV per cell for the records listed above, in that order.